Material: LiMn3Co
Method: DFT, GGA-PBE
State: relaxed

Lattice parameters (Å, degrees): 3.792 3.792 3.792 90.00 90.00 90.00
Space group Pm-3m (No. 221)
Asymmetric unit:
1 Li 0.000 0.000 0.000 (multiplicity 1)
2 Mn 0.000 0.000 0.500 (multiplicity 3)
3 Co 0.500 0.500 0.500 (multiplicity 1)

Density of states at the Fermi level ... 7.7 states/eV/f.u.
Relative energy among the computed polymorphs ... 616 meV per atom
ΔE_f ... 1.38 eV per atom
Calculated total energy ... -5.924 eV per atom